(1)
Computed, not measured: a relaxed structure of PbAuBr2 at the GGA-PBE level of DFT.

extended XYZ file:
```
4
Lattice="3.5947 0.0000 0.0000 0.0000 4.1916 0.0000 -0.0240 0.0000 8.1389" Properties=species:S:1:pos:R:3 pbc="T T T"
Pb 0.0000 0.0000 0.0000
Au -0.0120 0.0000 4.0695
Br 0.0040 2.0958 5.8880
Br 3.5667 2.0958 2.2509
```

As for the formation energy from raw total energies: -0.1132 eV per atom. The value obtained for the total moment is 0.000 μB per atom.

***

(2)
Computed, not measured: a relaxed structure of SnHg2Pd2 at the GGA-PBE level of DFT.

extended XYZ file:
```
5
Lattice="-1.9543 1.9543 6.9662 1.9543 -1.9543 6.9662 1.9543 1.9543 -6.9662" Properties=species:S:1:pos:R:3 pbc="T T T"
Sn 0.0000 0.0000 0.0000
Hg 1.9543 0.0000 3.4831
Hg 0.0000 1.9543 3.4831
Pd 0.0000 0.0000 5.6373
Pd 0.0000 0.0000 8.2951
```

The value obtained for the total moment is 0.000 μB per atom.

***

(3)
Computed, not measured: a relaxed structure of Ce2PuTl9 at the GGA-PBE level of DFT.

extended XYZ file:
```
12
Lattice="4.8007 0.0000 0.0000 0.0000 4.8007 0.0000 0.0000 0.0000 14.4373" Properties=species:S:1:pos:R:3 pbc="T T T"
Ce 0.0000 0.0000 2.4280
Ce 0.0000 0.0000 12.0093
Pu 0.0000 0.0000 7.2187
Tl 0.0000 2.4004 0.0000
Tl 0.0000 2.4004 4.8628
Tl 0.0000 2.4004 9.5745
Tl 2.4004 0.0000 0.0000
Tl 2.4004 0.0000 4.8628
Tl 2.4004 0.0000 9.5745
Tl 2.4004 2.4004 2.4202
Tl 2.4004 2.4004 7.2187
Tl 2.4004 2.4004 12.0171
```

The value obtained for the total moment is 0.151 μB per atom.

***

(4)
Computed, not measured: a relaxed structure of Mn2TlOs at the GGA-PBE level of DFT.

extended XYZ file:
```
4
Lattice="1.4458 0.8347 8.9168 -1.4458 0.8347 8.9168 0.0000 -1.6695 8.9168" Properties=species:S:1:pos:R:3 pbc="T T T"
Mn 0.0000 0.0000 0.0000
Mn 0.0000 0.0000 6.9049
Tl 0.0000 0.0000 13.3536
Os 0.0000 0.0000 19.7252
```

The value obtained for the total moment is 1.378 μB per atom.

***

(5)
Computed, not measured: a relaxed structure of Ir2SeCl at the GGA-PBE level of DFT.

extended XYZ file:
```
4
Lattice="2.8712 0.0000 0.0000 0.0000 4.3085 0.0000 0.0000 0.0000 5.3001" Properties=species:S:1:pos:R:3 pbc="T T T"
Ir 0.0000 0.0000 0.0000
Ir 1.4356 0.0000 2.6500
Se 0.0000 2.1543 2.6500
Cl 1.4356 2.1543 0.0000
```

As for the formation energy from raw total energies: 0.8403 eV per atom. The value obtained for the total moment is 0.000 μB per atom.

***

(6)
Computed, not measured: a relaxed structure of TeAs2Pt at the GGA-PBE level of DFT.

extended XYZ file:
```
8
Lattice="-3.0606 3.0606 5.9184 3.0606 -3.0606 5.9184 3.0606 3.0606 -5.9184" Properties=species:S:1:pos:R:3 pbc="T T T"
Te 0.0000 0.0000 0.0000
Te 0.0000 3.0606 2.9592
As 1.5303 -1.1577 4.4388
As 1.9029 1.5303 1.4796
As 1.5303 4.2183 -1.4796
As 1.1577 1.5303 7.3980
Pt 3.0606 0.0000 2.9592
Pt 0.0000 0.0000 5.9184
```

As for the formation energy from raw total energies: 0.0160 eV per atom. The value obtained for the total moment is 0.000 μB per atom.

***

Number 1: DFT total energy -2.6960 eV/atom. Number 2: DFT total energy -3.0114 eV/atom. Number 3: DFT total energy -3.9192 eV/atom. Number 4: DFT total energy -7.3385 eV/atom. Number 5: DFT total energy -4.9229 eV/atom. Number 6: DFT total energy -4.6043 eV/atom.